(A)
Material: ScAsP2S
Method: DFT, PBE
State: relaxed Values from VASP.

Structure (Quantum ESPRESSO input):
```
&SYSTEM
  ibrav = 0, nat = 5, ntyp = 4
/
ATOMIC_SPECIES
Sc 44.96 Sc.upf
P 30.97 P.upf
S 32.06 S.upf
As 74.92 As.upf
CELL_PARAMETERS angstrom
-4.578 -0.551 0.529
0.395 -4.460 -1.221
0.674 -1.196 4.586
ATOMIC_POSITIONS crystal
Sc 0.500 0.500 0.500
P 0.000 0.500 0.000
P 0.500 0.000 0.000
S 0.000 0.000 0.500
As 0.000 0.000 0.000
```

(B)
Material: ScAsP2S
Method: DFT, PBE
State: relaxed Values from VASP.

Structure (Quantum ESPRESSO input):
```
&SYSTEM
  ibrav = 0, nat = 5, ntyp = 4
/
ATOMIC_SPECIES
S 32.06 S.upf
P 30.97 P.upf
Sc 44.96 Sc.upf
As 74.92 As.upf
CELL_PARAMETERS angstrom
4.991 0.000 0.000
0.000 4.732 0.000
0.000 0.000 4.991
ATOMIC_POSITIONS crystal
S 0.000 0.500 0.000
P 0.500 0.000 0.000
P 0.000 0.000 0.500
Sc 0.000 0.000 0.000
As 0.500 0.500 0.500
```

Each structure's energy above the most stable one, in kJ/mol of atoms: (A) 0.0; (B) 21.5.

(A)
Material: TcAsP2S
Method: DFT, PBE
State: relaxed Values from VASP.

Structure (Quantum ESPRESSO input):
```
&SYSTEM
  ibrav = 0, nat = 5, ntyp = 4
/
ATOMIC_SPECIES
As 74.92 As.upf
P 30.97 P.upf
Tc 98.00 Tc.upf
S 32.06 S.upf
CELL_PARAMETERS angstrom
-2.685 -3.804 -0.141
3.701 -2.649 0.990
-0.888 0.459 4.545
ATOMIC_POSITIONS crystal
As 0.000 0.000 0.000
P 0.500 0.000 0.000
P 0.000 0.500 0.000
Tc 0.500 0.500 0.500
S 0.000 0.000 0.500
```

(B)
Material: TcAsP2S
Method: DFT, PBE
State: relaxed Values from VASP.

Structure (Quantum ESPRESSO input):
```
&SYSTEM
  ibrav = 0, nat = 5, ntyp = 4
/
ATOMIC_SPECIES
Tc 98.00 Tc.upf
P 30.97 P.upf
As 74.92 As.upf
S 32.06 S.upf
CELL_PARAMETERS angstrom
4.768 0.000 0.000
0.000 4.768 0.000
0.000 0.000 4.335
ATOMIC_POSITIONS crystal
Tc 0.000 0.000 0.000
P 0.500 0.000 0.000
P 0.000 0.500 0.000
As 0.500 0.500 0.500
S 0.000 0.000 0.500
```

Each structure's energy above the most stable one, in kJ/mol of atoms: (A) 63.5; (B) 0.0.

(A)
Material: TiAsPS2
Method: DFT, PBE
State: relaxed Values from VASP.

Structure (Quantum ESPRESSO input):
```
&SYSTEM
  ibrav = 0, nat = 5, ntyp = 4
/
ATOMIC_SPECIES
As 74.92 As.upf
Ti 47.87 Ti.upf
S 32.06 S.upf
P 30.97 P.upf
CELL_PARAMETERS angstrom
4.651 0.000 0.000
0.000 4.651 0.000
0.000 0.000 4.655
ATOMIC_POSITIONS crystal
As 0.000 0.000 0.000
Ti 0.500 0.500 0.500
S 0.000 0.500 0.000
S 0.500 0.000 0.000
P 0.000 0.000 0.500
```

(B)
Material: TiAsPS2
Method: DFT, PBE
State: relaxed Values from VASP.

Structure (Quantum ESPRESSO input):
```
&SYSTEM
  ibrav = 0, nat = 5, ntyp = 4
/
ATOMIC_SPECIES
Ti 47.87 Ti.upf
S 32.06 S.upf
P 30.97 P.upf
As 74.92 As.upf
CELL_PARAMETERS angstrom
4.568 0.000 0.000
0.000 4.568 0.000
0.000 0.000 4.986
ATOMIC_POSITIONS crystal
Ti 0.000 0.000 0.000
S 0.000 0.500 0.000
S 0.500 0.000 0.000
P 0.000 0.000 0.500
As 0.500 0.500 0.500
```

Each structure's energy above the most stable one, in kJ/mol of atoms: (A) 41.3; (B) 0.0.

(A)
Material: TiAsP2S
Method: DFT, PBE
State: relaxed Values from VASP.

Structure (Quantum ESPRESSO input):
```
&SYSTEM
  ibrav = 0, nat = 5, ntyp = 4
/
ATOMIC_SPECIES
P 30.97 P.upf
As 74.92 As.upf
Ti 47.87 Ti.upf
S 32.06 S.upf
CELL_PARAMETERS angstrom
-4.061 2.059 0.796
-1.358 -1.014 -4.300
-1.776 -4.092 1.526
ATOMIC_POSITIONS crystal
P 0.000 0.500 0.000
P 0.500 0.000 0.000
As 0.000 0.000 0.000
Ti 0.500 0.500 0.500
S 0.000 0.000 0.500
```

(B)
Material: TiAsP2S
Method: DFT, PBE
State: relaxed Values from VASP.

Structure (Quantum ESPRESSO input):
```
&SYSTEM
  ibrav = 0, nat = 5, ntyp = 4
/
ATOMIC_SPECIES
P 30.97 P.upf
Ti 47.87 Ti.upf
S 32.06 S.upf
As 74.92 As.upf
CELL_PARAMETERS angstrom
4.550 0.000 0.000
0.000 4.550 0.000
0.000 0.000 4.550
ATOMIC_POSITIONS crystal
P 0.500 0.000 0.000
P 0.000 0.000 0.500
Ti 0.000 0.500 0.000
S 0.000 0.000 0.000
As 0.500 0.500 0.500
```

Each structure's energy above the most stable one, in kJ/mol of atoms: (A) 12.0; (B) 0.0.